Record 1
4
Lattice="0.000 3.950 3.950 3.950 0.000 3.950 3.950 3.950 0.000" Properties=species:S:1:pos:R:3 comment="LiAcDyBi (PBE, relaxed)" formation_enthalpy_0k_ev_per_atom=-0.27 pbc="T T T"
Li 0.000 0.000 0.000
Ac 5.924 5.924 5.924
Dy 1.975 1.975 1.975
Bi 3.950 3.950 3.950

=====

Record 2
10
Lattice="4.200 0.000 0.000 0.000 4.200 0.000 0.000 0.000 11.330" Properties=species:S:1:pos:R:3 comment="Pm2HfAl4Pt3 (PBE, relaxed)" formation_enthalpy_0k_ev_per_atom=-0.92 pbc="T T T"
Pm 0.000 2.100 2.730
Pm 2.100 0.000 8.600
Hf 0.000 0.000 5.665
Al 0.000 0.000 0.000
Al 0.000 2.100 7.433
Al 2.100 0.000 3.898
Al 2.100 2.100 0.000
Pt 0.000 2.100 9.904
Pt 2.100 0.000 1.427
Pt 2.100 2.100 5.665

=====

Record 3
8
Lattice="-2.991 2.991 5.554 2.991 -2.991 5.554 2.991 2.991 -5.554" Properties=species:S:1:pos:R:3 comment="NbInP2 (PBE, relaxed)" formation_enthalpy_0k_ev_per_atom=-0.02 pbc="T T T"
Nb 0.000 0.000 0.000
Nb 0.000 2.991 2.777
In 2.991 0.000 2.777
In 0.000 0.000 5.554
P 4.487 1.313 -1.388
P 1.313 1.496 1.388
P -1.496 1.678 4.165
P 1.678 1.496 6.942

=====

Record 4
4
Lattice="0.000 3.504 3.504 3.504 0.000 3.504 3.504 3.504 0.000" Properties=species:S:1:pos:R:3 comment="CeLuGaRh (PBE, relaxed)" formation_enthalpy_0k_ev_per_atom=-0.61 pbc="T T T"
Ce 0.000 0.000 0.000
Lu 3.504 3.504 3.504
Ga 5.256 5.256 5.256
Rh 1.752 1.752 1.752

=====

Record 5
12
Lattice="7.130 0.000 0.000 1.298 7.238 0.000 1.471 1.909 9.495" Properties=species:S:1:pos:R:3 comment="CsGePb2Br8 (PBE, relaxed)" e_form_raw_ev_per_atom=-0.853 pbc="T T T"
Cs 0.000 0.000 0.000
Ge 0.736 0.955 4.748
Pb 4.214 3.693 2.318
Pb 5.686 5.454 7.177
Br 3.047 6.709 6.806
Br 3.100 6.459 3.031
Br 2.949 2.437 4.688
Br 3.151 2.039 0.226
Br 6.748 7.108 9.270
Br 6.951 6.710 4.808
Br 6.800 2.688 6.465
Br 6.852 2.438 2.689

=====

Record 6
5
Lattice="-2.091 2.091 6.477 2.091 -2.091 6.477 2.091 2.091 -6.477" Properties=species:S:1:pos:R:3 comment="PuPaAsS2 (PBE, relaxed)" e_form_raw_ev_per_atom=-1.105 pbc="T T T"
Pu 0.000 0.000 0.000
Pa 0.000 0.000 3.052
As 0.000 0.000 8.116
S 2.091 0.000 4.738
S 0.000 2.091 4.738

=====

no.,DOS(E_F) (states/eV/f.u.),E (eV per atom)
1,4.9,-3.897
2,6.3,-6.176
3,2.3,-5.924
4,4.9,-5.818
5,4.9,-3.042
6,7.1,-8.452